[1]
{
  "formula": "CaFe4W",
  "functional": "PBE-GGA",
  "state": "optimized geometry",
  "spacegroup": "No. 216",
  "dft_energy_ev_per_atom": -7.824,
  "formation_energy_mev_per_atom": 311,
  "dos_ef_per_ev_fu": 3.538,
  "lattice_angstrom": [[2.0352, 3.4078, 2.8925], [-2.8059, 3.4610, 2.0664], [-0.8268, -0.0757, 4.8407]],
  "species": ["W", "Ca", "Fe", "Fe", "Fe", "Fe"],
  "fractional_positions": [[0.2500, 0.2500, 0.2500], [0.0000, 0.0000, 0.0000], [0.6241, 0.1277, 0.6241], [0.6241, 0.6241, 0.1277], [0.1277, 0.6241, 0.6241], [0.6241, 0.6241, 0.6241]]
}

[2]
{
  "formula": "U5Pb3O12",
  "functional": "PBE-GGA",
  "state": "optimized geometry",
  "spacegroup": "No. 230",
  "dft_energy_ev_per_atom": -8.708,
  "dos_ef_per_ev_fu": 23.458,
  "lattice_angstrom": [[12.2662, 0.0000, 0.0000], [-4.0887, 11.5647, 0.0000], [-4.0887, -5.7823, 10.0153]],
  "species": ["O", "O", "O", "O", "O", "O", "O", "O", "O", "O", "O", "O", "O", "O", "O", "O", "O", "O", "O", "O", "O", "O", "O", "O", "O", "O", "O", "O", "O", "O", "O", "O", "O", "O", "O", "O", "O", "O", "O", "O", "O", "O", "O", "O", "O", "O", "O", "O", "U", "U", "U", "U", "U", "U", "U", "U", "U", "U", "U", "U", "U", "U", "U", "U", "U", "U", "U", "U", "Pb", "Pb", "Pb", "Pb", "Pb", "Pb", "Pb", "Pb", "Pb", "Pb", "Pb", "Pb"],
  "fractional_positions": [[0.8253, 0.9135, 0.3029], [0.1106, 0.4135, 0.0882], [0.8894, 0.3029, 0.4777], [0.6971, 0.5865, 0.1747], [0.9118, 0.8253, 0.5223], [0.0223, 0.4118, 0.8253], [0.5865, 0.8894, 0.4118], [0.4777, 0.6747, 0.0882], [0.6747, 0.4777, 0.5882], [0.6747, 0.1971, 0.5865], [0.9777, 0.5882, 0.1747], [0.5882, 0.9777, 0.6747], [0.5223, 0.1971, 0.1106], [0.3029, 0.4135, 0.8253], [0.1747, 0.0865, 0.6971], [0.1971, 0.5223, 0.6106], [0.0865, 0.9118, 0.3894], [0.4118, 0.0223, 0.3253], [0.8029, 0.3253, 0.9135], [0.5223, 0.3253, 0.9118], [0.0882, 0.9135, 0.1106], [0.9777, 0.3894, 0.3029], [0.0223, 0.6106, 0.6971], [0.0882, 0.1747, 0.4777], [0.3894, 0.4118, 0.0865], [0.3253, 0.8029, 0.4135], [0.0865, 0.1747, 0.1971], [0.8894, 0.5865, 0.9118], [0.6106, 0.5882, 0.9135], [0.4118, 0.3894, 0.5865], [0.3029, 0.8894, 0.9777], [0.3253, 0.5223, 0.4118], [0.3894, 0.9777, 0.8029], [0.9118, 0.0865, 0.8894], [0.8253, 0.9118, 0.0223], [0.1971, 0.6747, 0.0865], [0.1747, 0.0882, 0.9777], [0.6971, 0.1106, 0.0223], [0.1106, 0.6971, 0.5223], [0.9135, 0.8253, 0.8029], [0.4135, 0.1106, 0.5882], [0.6106, 0.0223, 0.1971], [0.8029, 0.4777, 0.3894], [0.4135, 0.3029, 0.3253], [0.5865, 0.6971, 0.6747], [0.5882, 0.6106, 0.4135], [0.9135, 0.0882, 0.6106], [0.4777, 0.8029, 0.8894], [0.3750, 0.2500, 0.1250], [0.0000, 0.5000, 0.0000], [0.1250, 0.7500, 0.3750], [0.0000, 0.5000, 0.5000], [0.2500, 0.3750, 0.6250], [0.3750, 0.1250, 0.7500], [0.5000, 0.0000, 0.5000], [0.6250, 0.8750, 0.2500], [0.8750, 0.2500, 0.6250], [0.7500, 0.1250, 0.8750], [0.0000, 0.0000, 0.5000], [0.5000, 0.0000, 0.0000], [0.5000, 0.5000, 0.5000], [0.0000, 0.0000, 0.0000], [0.1250, 0.3750, 0.2500], [0.7500, 0.6250, 0.3750], [0.2500, 0.8750, 0.1250], [0.5000, 0.5000, 0.0000], [0.8750, 0.6250, 0.7500], [0.6250, 0.7500, 0.8750], [0.3750, 0.6250, 0.2500], [0.6250, 0.2500, 0.3750], [0.1250, 0.2500, 0.8750], [0.2500, 0.1250, 0.3750], [0.7500, 0.8750, 0.6250], [0.8750, 0.7500, 0.1250], [0.1250, 0.8750, 0.7500], [0.3750, 0.7500, 0.6250], [0.2500, 0.6250, 0.8750], [0.6250, 0.3750, 0.7500], [0.8750, 0.1250, 0.2500], [0.7500, 0.3750, 0.1250]]
}